(1)
First-principles (SCAN) data for ZrBeW2 at its PBEsol-relaxed geometry, as listed in Alexandria via LeMat-Bulk.

Cell and atoms, written as CIF:
```
data_ZrBeW2
_chemical_formula_sum 'Zr2 Be2 W4'
_space_group_name_H-M_alt 'C m m m'
_space_group_IT_number 65
_space_group_name_Hall '-C 2 2'
_cell_length_a 3.4076
_cell_length_b 4.2561
_cell_length_c 8.3175
_cell_angle_alpha 90.00
_cell_angle_beta 90.00
_cell_angle_gamma 90.00
loop_
_atom_site_label
_atom_site_fract_x
_atom_site_fract_y
_atom_site_fract_z
Zr1 0.0000 0.0000 0.0000
Be1 0.0000 0.0000 0.5000
W1 0.0000 0.5000 0.2953
```

Summary:
DOS(E_F): 7.01 states/eV/cell
total DFT energy (no corrections): -346.84 eV for the cell shown
formation energy from the elements: 0.253 eV/atom

=====

(2)
First-principles (SCAN) data for TiTc3W at its PBEsol-relaxed geometry, as listed in Alexandria via LeMat-Bulk.

Cell and atoms, written as CIF:
```
data_TiTc3W
_chemical_formula_sum 'Ti1 Tc3 W1'
_space_group_name_H-M_alt 'P m -3 m'
_space_group_IT_number 221
_space_group_name_Hall '-P 4 2 3'
_cell_length_a 4.3638
_cell_length_b 4.3638
_cell_length_c 4.3638
_cell_angle_alpha 90.00
_cell_angle_beta 90.00
_cell_angle_gamma 90.00
loop_
_atom_site_label
_atom_site_fract_x
_atom_site_fract_y
_atom_site_fract_z
Ti1 0.0000 0.0000 0.0000
Tc1 0.0000 0.0000 0.5000
W1 0.5000 0.5000 0.5000
```

Summary:
DOS(E_F): 2.46 states/eV/cell
total DFT energy (no corrections): -183.35 eV for the cell shown
formation energy from the elements: 1.509 eV/atom